Below is a relaxed structure of ScCdW2, with properties calculated at the PBE level.

Structure (POSCAR):
```
ScCdW2
1.0
2.7815 0.0000 0.0000
0.0000 2.7815 0.0000
0.0000 0.0000 9.4263
Cd W Sc
1 2 1
direct
0.0000 0.0000 0.4923 Cd
0.0000 0.0000 0.0023 W
0.5000 0.5000 0.2439 W
0.5000 0.5000 0.7615 Sc
```

Output
D(E_F): 3.12 states/eV/f.u.
formation energy: 0.356 eV per atom
crystal system: tetragonal
space-group type: P4mm
calculated total energy: -7.932 eV per atom



Below is a relaxed structure of ScCdW2, with properties calculated at the PBE level.

Structure (POSCAR):
```
ScCdW2
1.0
4.9890 -0.0056 0.0015
4.2087 2.6789 0.0015
0.3719 0.1081 5.4428
W Sc Cd
2 1 1
direct
0.0013 0.0013 0.9829 W
0.7559 0.7559 0.7712 W
0.2458 0.2458 0.2513 Sc
0.4970 0.4970 0.4946 Cd
```

Output
D(E_F): 3.02 states/eV/f.u.
formation energy: 0.412 eV per atom
crystal system: monoclinic
space-group type: Cm
calculated total energy: -7.876 eV per atom



Copy entry 2 word for word.
Below is a relaxed structure of ScCdW2, with properties calculated at the PBE level.

Structure (POSCAR):
```
ScCdW2
1.0
4.9890 -0.0056 0.0015
4.2087 2.6789 0.0015
0.3719 0.1081 5.4428
W Sc Cd
2 1 1
direct
0.0013 0.0013 0.9829 W
0.7559 0.7559 0.7712 W
0.2458 0.2458 0.2513 Sc
0.4970 0.4970 0.4946 Cd
```

Output
D(E_F): 3.02 states/eV/f.u.
formation energy: 0.412 eV per atom
crystal system: monoclinic
space-group type: Cm
calculated total energy: -7.876 eV per atom



Number 1 is which compound?
ScCdW2



What is the formation energy in the second record?
0.412 eV per atom



What is the calculated total energy in the second record?
-7.876 eV per atom